DyHoPu2S4 (PBE, optimized geometry); total magnetization = 11.4 Bohr magnetons per cell; E_form (uncorrected) = -1906 meV per atom
1.0
3.913 0.000 0.000
0.000 6.777 0.116
0.000 -2.368 6.408
S Ho Dy Pu
4 1 1 2
Direct
0.000 0.251 0.754
0.000 0.749 0.246
0.500 0.753 0.755
0.500 0.247 0.245
0.000 0.000 0.000
0.500 0.500 0.000
0.500 0.000 0.500
0.000 0.500 0.500

***

Pu2TiO6 (PBE, optimized geometry); total magnetization = 16.0 Bohr magnetons per cell; E_form (uncorrected) = -2968 meV per atom
1.0
4.949 0.000 0.000
0.000 4.949 0.000
0.000 0.000 10.025
Ti Pu O
2 4 12
Direct
0.500 0.500 0.500
0.000 0.000 0.000
0.000 0.000 0.332
0.500 0.500 0.168
0.000 0.000 0.668
0.500 0.500 0.832
0.315 0.315 0.652
0.815 0.185 0.152
0.709 0.709 0.000
0.685 0.685 0.652
0.791 0.209 0.500
0.185 0.815 0.152
0.315 0.315 0.348
0.685 0.685 0.348
0.291 0.291 0.000
0.209 0.791 0.500
0.185 0.815 0.848
0.815 0.185 0.848